[1]
The following is a GGA-PBE calculation of an optimized crystal structure of Ac4Pr2Dy5, from the Alexandria database.

Formation enthalpy at 0 K, eV/atom: 0.244
Total energy, eV for the cell shown: -46.32

Cell: 3.5931 9.2503 12.6169 Å, 86.44 98.19 90.00°
Last column: nearest neighbours and their distance in Å.
Atoms (fractional coordinates):
Dy: 0.1877 0.5330 0.3754  1 Pr 3.55, 5 Dy 3.59-3.62, 4 Ac 3.62-3.79
Dy: 0.8123 0.4670 0.6246  1 Pr 3.55, 5 Dy 3.59-3.62, 4 Ac 3.62-3.79
Dy: 0.1352 0.9068 0.2705  1 Pr 3.24, 1 Ac 3.50, 3 Dy 3.59-3.62
Dy: 0.5000 0.0000 0.0000  6 Dy 3.59-3.87, 4 Pr 3.79, 4 Ac 3.84
Dy: 0.8648 0.0932 0.7295  1 Pr 3.24, 1 Ac 3.50, 3 Dy 3.59-3.62
Ac: 0.7197 0.1767 0.4394  6 Ac 3.59-3.95, 6 Dy 3.65-3.82
Ac: 0.0862 0.2699 0.1723  2 Pr 3.43-3.63, 2 Dy 3.50-3.62, 4 Ac 3.59-3.84
Ac: 0.9138 0.7301 0.8277  2 Pr 3.43-3.63, 2 Dy 3.50-3.62, 4 Ac 3.59-3.84
Ac: 0.2803 0.8233 0.5606  6 Ac 3.59-3.95, 6 Dy 3.65-3.82
Pr: 0.0501 0.6567 0.1002  2 Dy 3.24-3.55, 1 Ac 3.43, 2 Pr 3.59
Pr: 0.9499 0.3433 0.8998  2 Dy 3.24-3.55, 1 Ac 3.43, 2 Pr 3.59

[2]
The following is a GGA-PBE calculation of an optimized crystal structure of NaZrN2F, from the Alexandria database.

Formation energy from raw total energies, eV per atom: 0.2698
Polymorph energy (0 for the lowest one), meV/atom: 1181
Total energy, eV for the cell shown: -27.04

Cell: 4.0426 4.0426 3.6976 Å, 90.00 90.00 90.00°
Last column: nearest neighbours and their distance in Å.
Atoms (fractional coordinates):
N: 0.5000 0.0000 0.0000  2 Na 2.02
N: 0.0000 0.5000 0.0000  2 Na 2.02
Zr: 0.5000 0.5000 0.5000  8 N 2.74, 4 F 2.86
Na: 0.0000 0.0000 0.0000  2 F 1.85, 4 N 2.02
F: 0.0000 0.0000 0.5000  2 Na 1.85

Values of density, in order: 8.03, 4.43, all in g/cm³.